*1*
## HfTaAl2 (GGA-PBE)

Data for a relaxed structure of HfTaAl2.

abc: 7.3682 7.3682 5.6665
angles: 90.00 90.00 90.00
Space group I-42d (No. 122)
Asymmetric unit:
Hf 0.0000 0.0000 0.0000 [4 per cell]
Ta 0.0000 0.0000 0.5000 [4 per cell]
Al 0.2401 0.7500 0.6250 [8 per cell]

Output
D(E_F): 0.559 states/eV/atom


*2*
## HfTaAl2 (GGA-PBE)

Data for a relaxed structure of HfTaAl2.

abc: 3.5223 3.5223 5.7664
angles: 90.00 90.00 90.00
Space group P4/mmm (No. 123)
Asymmetric unit:
Hf 0.0000 0.0000 0.0000 [1 per cell]
Ta 0.0000 0.0000 0.5000 [1 per cell]
Al 0.5000 0.5000 0.2671 [2 per cell]

Output
D(E_F): 0.877 states/eV/atom


*3*
## HfTaAl2 (GGA-PBE)

Data for a relaxed structure of HfTaAl2.

abc: 7.3357 3.6910 10.7338
angles: 90.00 90.00 90.00
Space group Pnma (No. 62)
Asymmetric unit:
Hf 0.2330 0.2500 0.1993 [4 per cell]
Ta 0.0492 0.7500 0.4064 [4 per cell]
Al 0.0673 0.2500 0.8392 [4 per cell]
Al 0.1996 0.7500 0.9873 [4 per cell]

Output
D(E_F): 0.473 states/eV/atom


*4*
## HfTaAl2 (GGA-PBE)

Data for a relaxed structure of HfTaAl2.

abc: 4.1289 4.1289 4.1633
angles: 90.00 90.00 90.00
Space group P4/mmm (No. 123)
Asymmetric unit:
Hf 0.0000 0.0000 0.0000 [1 per cell]
Ta 0.5000 0.5000 0.0000 [1 per cell]
Al 0.0000 0.5000 0.5000 [2 per cell]

Output
D(E_F): 0.642 states/eV/atom


*3* (6 meV per atom below the next structure)